The following is a PBE calculation of an optimized crystal structure of SmGaSi, from Alexandria via LeMat-Bulk.

magnetization: 0.0 μB/f.u.
uncorrected formation energy: -200 kJ/mol of formula units
total energy: -5.08 eV/atom

Cell lengths 4.1707, 4.1707, 7.7128 Å; angles 105.68, 105.68, 90.01 degrees
Fractional positions:
Sm: 0.1246 0.8754 0.5000
Sm: 0.8754 0.1246 0.0000
Ga: 0.2917 0.5401 0.8333
Ga: 0.5401 0.2917 0.3333
Si: 0.4594 0.7085 0.1664
Si: 0.7085 0.4594 0.6664



The following is a PBE calculation of an optimized crystal structure of SmGa2Si, from Alexandria via LeMat-Bulk.

magnetization: 0.0 μB/f.u.
uncorrected formation energy: -163 kJ/mol of formula units
total energy: -4.47 eV/atom

Cell lengths 4.2558, 4.2558, 4.3769 Å; angles 90.00, 90.00, 90.00 degrees
Fractional positions:
Sm: 0.0000 0.0000 0.0000
Ga: 0.0000 0.5000 0.5000
Ga: 0.5000 0.0000 0.5000
Si: 0.5000 0.5000 0.0000



The following is a PBE calculation of an optimized crystal structure of Sm3Ga3Si, from Alexandria via LeMat-Bulk.

magnetization: 0.5 μB/f.u.
uncorrected formation energy: -460 kJ/mol of formula units
total energy: -4.78 eV/atom

Cell lengths 9.7074, 9.7074, 9.7074 Å; angles 155.43, 154.29, 35.86 degrees
Fractional positions:
Sm: 0.0000 0.0000 0.0000
Sm: 0.1802 0.6802 0.5000
Sm: 0.3677 0.3677 0.0000
Ga: 0.5399 0.5399 0.0000
Ga: 0.7485 0.2485 0.5000
Ga: 0.8264 0.8264 0.0000
Si: 0.6176 0.1176 0.5000



The following is a PBE calculation of an optimized crystal structure of Sm4GaSi, from Alexandria via LeMat-Bulk.

magnetization: 0.0 μB/f.u.
uncorrected formation energy: -127 kJ/mol of formula units
total energy: -4.77 eV/atom

Cell lengths 10.9066, 10.9066, 6.2416 Å; angles 90.00, 90.00, 151.34 degrees
Fractional positions:
Sm: 0.0610 0.9390 0.7500
Sm: 0.2060 0.7940 0.5042
Sm: 0.2060 0.7940 0.9958
Sm: 0.3836 0.6164 0.7500
Sm: 0.6164 0.3836 0.2500
Sm: 0.7940 0.2060 0.0042
Sm: 0.7940 0.2060 0.4958
Sm: 0.9390 0.0610 0.2500
Ga: 0.0758 0.9242 0.2500
Ga: 0.9242 0.0758 0.7500
Si: 0.3390 0.6610 0.2500
Si: 0.6610 0.3390 0.7500



The following is a PBE calculation of an optimized crystal structure of Sm2Ga3Si, from Alexandria via LeMat-Bulk.

magnetization: 0.0 μB/f.u.
uncorrected formation energy: -404 kJ/mol of formula units
total energy: -4.69 eV/atom

Cell lengths 4.1944, 4.1960, 7.2648 Å; angles 90.00, 90.00, 90.00 degrees
Fractional positions:
Sm: 0.0000 0.0000 0.0000
Sm: 0.5000 0.0000 0.4888
Ga: 0.0000 0.5000 0.3282
Ga: 0.0000 0.5000 0.6635
Ga: 0.5000 0.5000 0.8288
Si: 0.5000 0.5000 0.1595



The following is a PBE calculation of an optimized crystal structure of Sm2Ga3Si2, from Alexandria via LeMat-Bulk.

magnetization: 0.0 μB/f.u.
uncorrected formation energy: -275 kJ/mol of formula units
total energy: -4.60 eV/atom

Cell lengths 4.1312, 4.0502, 9.3345 Å; angles 90.00, 102.70, 90.00 degrees
Fractional positions:
Sm: 0.1384 0.0000 0.2766
Sm: 0.8616 0.0000 0.7234
Ga: 0.0000 0.5000 0.0000
Ga: 0.2844 0.5000 0.5694
Ga: 0.7156 0.5000 0.4306
Si: 0.4156 0.5000 0.8332
Si: 0.5844 0.5000 0.1668



The following is a PBE calculation of an optimized crystal structure of SmGa2Si, from Alexandria via LeMat-Bulk.

magnetization: 0.0 μB/f.u.
uncorrected formation energy: -113 kJ/mol of formula units
total energy: -4.34 eV/atom

Cell lengths 5.6596, 5.6596, 5.6596 Å; angles 45.04, 45.04, 45.04 degrees
Fractional positions:
Sm: 0.0000 0.0000 0.0000
Ga: 0.2165 0.2165 0.2165
Ga: 0.7835 0.7835 0.7835
Si: 0.5000 0.5000 0.5000



The following is a PBE calculation of an optimized crystal structure of Sm2Ga3Si, from Alexandria via LeMat-Bulk.

magnetization: 0.0 μB/f.u.
uncorrected formation energy: -404 kJ/mol of formula units
total energy: -4.69 eV/atom

Cell lengths 8.3867, 8.3843, 5.9341 Å; angles 69.30, 69.26, 41.44 degrees
Fractional positions:
Sm: 0.2468 0.7532 0.7532
Sm: 0.2500 0.2500 0.2500
Sm: 0.7500 0.7500 0.7500
Sm: 0.7532 0.2468 0.2468
Ga: 0.1649 0.6668 0.3332
Ga: 0.3323 0.3323 0.6677
Ga: 0.3332 0.8351 0.1649
Ga: 0.6668 0.1649 0.8351
Ga: 0.6677 0.6677 0.3323
Ga: 0.8351 0.3332 0.6668
Si: 0.1669 0.1669 0.8331
Si: 0.8331 0.8331 0.1669



The following is a PBE calculation of an optimized crystal structure of Sm7Ga2Si2, from Alexandria via LeMat-Bulk.

magnetization: 0.0 μB/f.u.
uncorrected formation energy: -215 kJ/mol of formula units
total energy: -4.74 eV/atom

Cell lengths 6.6912, 6.6912, 7.3963 Å; angles 90.00, 90.00, 110.77 degrees
Fractional positions:
Sm: 0.0000 0.0000 0.0000
Sm: 0.0000 0.5000 0.2917
Sm: 0.0000 0.5000 0.7083
Sm: 0.5000 0.0000 0.2917
Sm: 0.5000 0.0000 0.7083
Sm: 0.5000 0.5000 0.2612
Sm: 0.5000 0.5000 0.7388
Ga: 0.2891 0.7109 0.0000
Ga: 0.7109 0.2891 0.0000
Si: 0.1615 0.1615 0.5000
Si: 0.8385 0.8385 0.5000



The following is a PBE calculation of an optimized crystal structure of SmGaSi, from Alexandria via LeMat-Bulk.

magnetization: 0.0 μB/f.u.
uncorrected formation energy: -197 kJ/mol of formula units
total energy: -5.07 eV/atom

Cell lengths 4.2072, 4.1226, 7.1552 Å; angles 90.00, 90.00, 90.00 degrees
Fractional positions:
Sm: 0.2500 0.0000 0.2398
Sm: 0.7500 0.0000 0.7602
Ga: 0.2500 0.5000 0.5845
Ga: 0.7500 0.5000 0.4155
Si: 0.2500 0.5000 0.9214
Si: 0.7500 0.5000 0.0786



The following is a PBE calculation of an optimized crystal structure of Sm3GaSi4, from Alexandria via LeMat-Bulk.

magnetization: 0.0 μB/f.u.
uncorrected formation energy: -379 kJ/mol of formula units
total energy: -5.35 eV/atom

Cell lengths 8.2717, 8.2717, 8.2717 Å; angles 149.22, 138.91, 52.21 degrees
Fractional positions:
Sm: 0.0000 0.0000 0.0000
Sm: 0.3134 0.8134 0.5000
Sm: 0.6866 0.1866 0.5000
Ga: 0.5000 0.5000 0.0000
Si: 0.0737 0.3747 0.6990
Si: 0.3243 0.6253 0.6990
Si: 0.6757 0.3747 0.3010
Si: 0.9263 0.6253 0.3010



The following is a PBE calculation of an optimized crystal structure of SmGaSi, from Alexandria via LeMat-Bulk.

magnetization: 0.0 μB/f.u.
uncorrected formation energy: -196 kJ/mol of formula units
total energy: -5.07 eV/atom

Cell lengths 4.1581, 4.1581, 4.1443 Å; angles 90.00, 90.00, 120.00 degrees
Fractional positions:
Sm: 0.0000 0.0000 0.0000
Ga: 0.3333 0.6667 0.5303
Si: 0.6667 0.3333 0.4739



| no. | DOS at the Fermi energy (states/eV/cell) |
| --- | --- |
| 1 | 0.04 |
| 2 | 1.47 |
| 3 | 5.17 |
| 4 | 14.68 |
| 5 | 1.66 |
| 6 | 3.09 |
| 7 | 2.68 |
| 8 | 4.71 |
| 9 | 11.95 |
| 10 | 1.89 |
| 11 | 2.15 |
| 12 | 0.54 |